1.
Here is crystalline RuWC2 at its relaxed geometry from Alexandria via LeMat-Bulk. Energies are from PBE.

## Properties
As for the crystal system: tetragonal. Its space-group type is I-42d. The value obtained for the total energy is -76.64 eV per cell. For the formation energy from the elements, the calculation gives 0.5892 eV/atom. The total magnetization comes out at 0.0 μB/cell. The volume is 100.6 Å³/cell.

Cell: 5.7686 5.7686 5.7686 Å, 133.06 133.06 68.56°
Last column: nearest neighbours and their distance in Å.
Positions (direct):
1 Ru 0.0000 0.0000 0.0000  4 C 2.00
2 Ru 0.7500 0.2500 0.5000  4 C 2.00
3 W 0.2500 0.7500 0.5000  4 C 2.03
4 W 0.5000 0.5000 0.0000  4 C 2.03
5 C 0.1188 0.6250 0.9938  2 Ru 2.00, 2 W 2.03
6 C 0.3750 0.3688 0.4938  2 Ru 2.00, 2 W 2.03
7 C 0.6312 0.1250 0.0062  2 Ru 2.00, 2 W 2.03
8 C 0.8750 0.8812 0.5062  2 Ru 2.00, 2 W 2.03


2.
Here is crystalline Dy5Co2Au2 at its relaxed geometry from Alexandria via LeMat-Bulk. Energies are from PBE.

## Properties
As for the crystal system: orthorhombic. Its space-group type is Cmce. The value obtained for the total energy is -96.26 eV per cell. For the formation energy from the elements, the calculation gives -0.4838 eV/atom. The total magnetization comes out at 0.0 μB/cell. The volume is 413.1 Å³/cell.

Cell: 8.6127 8.6127 7.3107 Å, 90.00 90.00 49.62°
Last column: nearest neighbours and their distance in Å.
Positions (direct):
1 Dy 0.0000 0.0000 0.0000  4 Co 2.94-2.95
2 Dy 0.0493 0.6938 0.6784  3 Co 2.93-2.96, 3 Au 2.98-3.08
3 Dy 0.1938 0.5493 0.1784  3 Co 2.93-2.96, 3 Au 2.98-3.08
4 Dy 0.3062 0.9507 0.6784  3 Co 2.93-2.96, 3 Au 2.98-3.08
5 Dy 0.4507 0.8062 0.1784  3 Co 2.93-2.96, 3 Au 2.98-3.08
6 Dy 0.5000 0.5000 0.5000  4 Co 2.94-2.95
7 Dy 0.5493 0.1938 0.8216  3 Co 2.93-2.96, 3 Au 2.98-3.08
8 Dy 0.6938 0.0493 0.3216  3 Co 2.93-2.96, 3 Au 2.98-3.08
9 Dy 0.8062 0.4507 0.8216  3 Co 2.93-2.96, 3 Au 2.98-3.08
10 Dy 0.9507 0.3062 0.3216  3 Co 2.93-2.96, 3 Au 2.98-3.08
11 Co 0.1097 0.8903 0.3887  1 Co 2.27
12 Co 0.3903 0.6097 0.8887  1 Co 2.27
13 Co 0.6097 0.3903 0.1113  1 Co 2.27
14 Co 0.8903 0.1097 0.6113  1 Co 2.27
15 Au 0.2132 0.2132 0.0000  7 Dy 2.98-3.33
16 Au 0.2868 0.2868 0.5000  7 Dy 2.98-3.33
17 Au 0.7132 0.7132 0.5000  7 Dy 2.98-3.33
18 Au 0.7868 0.7868 0.0000  7 Dy 2.98-3.33


3.
Here is crystalline NpPaRhS4 at its relaxed geometry from Alexandria via LeMat-Bulk. Energies are from PBE.

## Properties
As for the crystal system: monoclinic. Its space-group type is P2_1/m. The value obtained for the total energy is -109.45 eV per cell. For the uncorrected formation energy, the calculation gives -1204 meV/atom. The total magnetization comes out at 7.0 μB/cell. The volume is 272.4 Å³/cell.

Cell: 6.4210 5.8405 7.5600 Å, 90.00 106.10 90.00°
Last column: nearest neighbours and their distance in Å.
Positions (direct):
1 Np 0.2382 0.2500 0.0577  6 S 2.68-2.85
2 Np 0.7618 0.7500 0.9423  6 S 2.68-2.85
3 Pa 0.2442 0.2500 0.5566  6 S 2.72-2.89
4 Pa 0.7558 0.7500 0.4434  6 S 2.72-2.89
5 Rh 0.2356 0.7500 0.3200  4 S 2.28-2.34
6 Rh 0.7644 0.2500 0.6800  4 S 2.28-2.34
7 S 0.0332 0.5177 0.7591  1 Rh 2.28
8 S 0.0332 0.9823 0.7591  1 Rh 2.28
9 S 0.4419 0.7500 0.6215  1 Rh 2.30
10 S 0.4482 0.7500 0.1135  1 Rh 2.34
11 S 0.5518 0.2500 0.8865  1 Rh 2.34
12 S 0.5581 0.2500 0.3785  1 Rh 2.30
13 S 0.9668 0.0177 0.2409  1 Rh 2.28
14 S 0.9668 0.4823 0.2409  1 Rh 2.28


4.
Here is crystalline SiBRhAuCS at its relaxed geometry from Alexandria via LeMat-Bulk. Energies are from PBE.

## Properties
As for the crystal system: monoclinic. Its space-group type is Cm. The value obtained for the total energy is -34.21 eV per cell. For the uncorrected formation energy, the calculation gives 311 meV/atom. The total magnetization comes out at 0.0 μB/cell. The volume is 88.7 Å³/cell.

Cell: 5.7702 5.7702 6.8277 Å, 123.48 123.48 28.31°
Last column: nearest neighbours and their distance in Å.
Positions (direct):
1 Si 0.0000 0.0000 0.0000  1 C 1.92
2 B 0.7348 0.7348 0.5109  1 S 1.89, 2 Rh 2.06
3 Rh 0.3985 0.3985 0.6636  2 B 2.06
4 Au 0.7289 0.7289 0.1704  1 B 2.29, 1 C 2.32, 2 Si 2.55
5 C 0.9557 0.9557 0.2338  2 S 1.82, 1 Si 1.92
6 S 0.5442 0.5442 0.4365  2 C 1.82, 1 B 1.89


5.
Here is crystalline Pr2TmZr at its relaxed geometry from Alexandria via LeMat-Bulk. Energies are from PBE.

## Properties
As for the crystal system: tetragonal. Its space-group type is P4/mmm. The value obtained for the total energy is -21.89 eV per cell. For the formation energy from the elements, the calculation gives 0.1723 eV/atom. The total magnetization comes out at 0.0 μB/cell. The volume is 122.6 Å³/cell.

Cell: 4.0899 4.0899 7.3285 Å, 90.00 90.00 90.00°
Last column: nearest neighbours and their distance in Å.
Positions (direct):
1 Pr 0.0000 0.0000 0.2284  4 Zr 3.34, 1 Pr 3.35, 4 Tm 3.51
2 Pr 0.0000 0.0000 0.7716  4 Zr 3.34, 1 Pr 3.35, 4 Tm 3.51
3 Tm 0.5000 0.5000 0.5000  8 Pr 3.51, 2 Zr 3.66
4 Zr 0.5000 0.5000 0.0000  8 Pr 3.34, 2 Tm 3.66


6.
Here is crystalline TlInAg2Br6 at its relaxed geometry from Alexandria via LeMat-Bulk. Energies are from PBE.

## Properties
As for the crystal system: triclinic. Its space-group type is P1. The value obtained for the total energy is -26.89 eV per cell. For the uncorrected formation energy, the calculation gives -604 meV/atom. The total magnetization comes out at 0.0 μB/cell. The volume is 316.4 Å³/cell.

Cell: 7.3204 7.3342 7.9960 Å, 89.99 62.84 60.11°
Last column: nearest neighbours and their distance in Å.
Positions (direct):
1 Tl 0.0000 0.0000 0.0000  6 Br 3.21-3.44
2 In 0.9644 0.5182 0.5543  6 Br 2.73-2.75
3 Ag 0.5863 0.7082 0.1214  6 Br 2.87-3.05
4 Ag 0.6296 0.1847 0.5559  6 Br 2.88-2.96
5 Br 0.1136 0.5444 0.8055  1 In 2.73, 2 Ag 2.90-3.03
6 Br 0.1155 0.7592 0.3389  1 In 2.74, 2 Ag 2.88-2.95
7 Br 0.4205 0.1274 0.3390  1 In 2.75, 2 Ag 2.88-2.93
8 Br 0.5383 0.9162 0.8056  1 In 2.74, 2 Ag 2.90-3.02
9 Br 0.7408 0.3413 0.8039  1 In 2.73, 2 Ag 2.88-3.05
10 Br 0.7890 0.4536 0.3374  1 In 2.74, 2 Ag 2.87-2.96


7.
Here is crystalline La9Nd4Y at its relaxed geometry from Alexandria via LeMat-Bulk. Energies are from PBE.

## Properties
As for the crystal system: hexagonal. Its space-group type is P6_3/mmc. The value obtained for the total energy is -135.72 eV per cell. For the formation energy from the elements, the calculation gives 0.1443 eV/atom. The total magnetization comes out at 0.0 μB/cell. The volume is 1031.6 Å³/cell.

Cell: 10.0904 10.0904 11.6999 Å, 90.00 90.00 120.00°
Last column: nearest neighbours and their distance in Å.
Positions (direct):
1 La 0.0809 0.5404 0.2500  2 Nd 3.34, 1 Y 3.62
2 La 0.2069 0.4138 0.5295  1 Y 3.40, 2 Nd 3.63-3.65, 2 La 3.68
3 La 0.2069 0.4138 0.9705  1 Y 3.40, 2 Nd 3.63-3.65, 2 La 3.68
4 La 0.2069 0.7931 0.5295  1 Y 3.40, 2 Nd 3.63-3.65, 2 La 3.68
5 La 0.2069 0.7931 0.9705  1 Y 3.40, 2 Nd 3.63-3.65, 2 La 3.68
6 La 0.4138 0.2069 0.0295  1 Y 3.40, 2 Nd 3.63-3.65, 2 La 3.68
7 La 0.4138 0.2069 0.4705  1 Y 3.40, 2 Nd 3.63-3.65, 2 La 3.68
8 La 0.4596 0.5404 0.2500  2 Nd 3.34, 1 Y 3.62
9 La 0.4596 0.9191 0.2500  2 Nd 3.34, 1 Y 3.62
10 La 0.5404 0.0809 0.7500  2 Nd 3.34, 1 Y 3.62
11 La 0.5404 0.4596 0.7500  2 Nd 3.34, 1 Y 3.62
12 La 0.5862 0.7931 0.5295  1 Y 3.40, 2 Nd 3.63-3.65, 2 La 3.68
13 La 0.5862 0.7931 0.9705  1 Y 3.40, 2 Nd 3.63-3.65, 2 La 3.68
14 La 0.7931 0.2069 0.0295  1 Y 3.40, 2 Nd 3.63-3.65, 2 La 3.68
15 La 0.7931 0.2069 0.4705  1 Y 3.40, 2 Nd 3.63-3.65, 2 La 3.68
16 La 0.7931 0.5862 0.0295  1 Y 3.40, 2 Nd 3.63-3.65, 2 La 3.68
17 La 0.7931 0.5862 0.4705  1 Y 3.40, 2 Nd 3.63-3.65, 2 La 3.68
18 La 0.9191 0.4596 0.7500  2 Nd 3.34, 1 Y 3.62
19 Nd 0.0000 0.0000 0.0000  6 Nd 3.53, 6 La 3.63
20 Nd 0.0000 0.0000 0.5000  6 Nd 3.53, 6 La 3.63
21 Nd 0.1135 0.2270 0.2500  4 La 3.34-3.65, 4 Nd 3.44-3.53
22 Nd 0.1135 0.8865 0.2500  4 La 3.34-3.65, 4 Nd 3.44-3.53
23 Nd 0.2270 0.1135 0.7500  4 La 3.34-3.65, 4 Nd 3.44-3.53
24 Nd 0.7730 0.8865 0.2500  4 La 3.34-3.65, 4 Nd 3.44-3.53
25 Nd 0.8865 0.1135 0.7500  4 La 3.34-3.65, 4 Nd 3.44-3.53
26 Nd 0.8865 0.7730 0.7500  4 La 3.34-3.65, 4 Nd 3.44-3.53
27 Y 0.3333 0.6667 0.7500  9 La 3.40-3.62
28 Y 0.6667 0.3333 0.2500  9 La 3.40-3.62


8.
Here is crystalline Pm12Pr2Dy5 at its relaxed geometry from Alexandria via LeMat-Bulk. Energies are from PBE.

## Properties
As for the crystal system: monoclinic. Its space-group type is C2/m. The value obtained for the total energy is -87.23 eV per cell. For the formation energy from the elements, the calculation gives 0.1237 eV/atom. The total magnetization comes out at 0.0 μB/cell. The volume is 652.9 Å³/cell.

Cell: 9.5225 9.5225 7.9969 Å, 90.58 90.58 64.21°
Last column: nearest neighbours and their distance in Å.
Positions (direct):
1 Pm 0.0514 0.0514 0.2107  3 Dy 3.34-3.64, 6 Pm 3.50-3.61
2 Pm 0.0763 0.5385 0.7067  4 Dy 3.49-3.68, 6 Pm 3.53-3.79, 1 Pr 3.54
3 Pm 0.1204 0.6680 0.1104  4 Dy 3.38-3.67, 5 Pm 3.50-3.61, 1 Pr 3.57
4 Pm 0.3320 0.8796 0.8896  4 Dy 3.38-3.67, 5 Pm 3.50-3.61, 1 Pr 3.57
5 Pm 0.3394 0.3394 0.3770  2 Dy 3.24-3.53, 2 Pr 3.55, 4 Pm 3.57-3.61
6 Pm 0.4615 0.9237 0.2933  4 Dy 3.49-3.68, 6 Pm 3.53-3.79, 1 Pr 3.54
7 Pm 0.5385 0.0763 0.7067  4 Dy 3.49-3.68, 6 Pm 3.53-3.79, 1 Pr 3.54
8 Pm 0.6606 0.6606 0.6230  2 Dy 3.24-3.53, 2 Pr 3.55, 4 Pm 3.57-3.61
9 Pm 0.6680 0.1204 0.1104  4 Dy 3.38-3.67, 5 Pm 3.50-3.61, 1 Pr 3.57
10 Pm 0.8796 0.3320 0.8896  4 Dy 3.38-3.67, 5 Pm 3.50-3.61, 1 Pr 3.57
11 Pm 0.9237 0.4615 0.2933  4 Dy 3.49-3.68, 6 Pm 3.53-3.79, 1 Pr 3.54
12 Pm 0.9486 0.9486 0.7893  3 Dy 3.34-3.64, 6 Pm 3.50-3.61
13 Pr 0.2788 0.7212 0.5000  8 Pm 3.54-3.75, 2 Dy 3.74
14 Pr 0.7212 0.2788 0.5000  8 Pm 3.54-3.75, 2 Dy 3.74
15 Dy 0.1472 0.1472 0.5827  9 Pm 3.34-3.65
16 Dy 0.2526 0.2526 0.0096  5 Pm 3.24-3.49
17 Dy 0.5000 0.5000 0.0000  4 Pm 3.38
18 Dy 0.7474 0.7474 0.9904  5 Pm 3.24-3.49
19 Dy 0.8528 0.8528 0.4173  9 Pm 3.34-3.65